## MnNb2Rh7 (GGA-PBE)

Data for a relaxed structure of MnNb2Rh7.

Cell: 2.7603 7.0221 9.1098 Å, 118.03 90.00 90.00°
With the nearest neighbours (Å) after each atom.
Positions (direct):
1 Rh 0.5000 0.5000 0.5000  2 Nb 2.51, 6 Rh 2.72-2.76
2 Rh 0.5000 0.3809 0.1671  1 Nb 2.58, 8 Rh 2.74-2.87, 2 Mn 2.75
3 Rh 0.5000 0.6191 0.8329  1 Nb 2.58, 8 Rh 2.74-2.87, 2 Mn 2.75
4 Rh 0.5000 0.9261 0.7236  2 Nb 2.64-2.79, 6 Rh 2.68-2.77, 2 Mn 2.70
5 Rh 0.0000 0.2944 0.8808  9 Rh 2.68-2.87, 2 Nb 2.73, 1 Mn 2.75
6 Rh 0.0000 0.7056 0.1192  9 Rh 2.68-2.87, 2 Nb 2.73, 1 Mn 2.75
7 Rh 0.5000 0.0739 0.2764  2 Nb 2.64-2.79, 6 Rh 2.68-2.77, 2 Mn 2.70
8 Mn 0.0000 0.0000 0.0000  10 Rh 2.70-2.75, 2 Mn 2.76
9 Nb 0.5000 0.7759 0.3983  6 Rh 2.51-2.79, 3 Nb 2.76-2.80
10 Nb 0.5000 0.2241 0.6017  6 Rh 2.51-2.79, 3 Nb 2.76-2.80

- ΔE_f (meV per atom) = 30.7
- symmetry = No. 10
- magnetization (μB per atom) = 0.382